# 1
GGA-PBE AcNd12Er3, optimized geometry; DFT formation energy = 0.33 eV per formula unit; DOS(E_F) = 25.15 states/eV/cell; space-group type = P4/mmm; VASP energy = -4.67 eV/atom; total magnetic moment = 0.00 μB per formula unit
1.0
5.186 0.000 0.000
0.000 5.186 0.000
0.000 0.000 20.725
Ac Nd Er
1 12 3
Direct
0.000 0.000 0.000 Ac
0.000 0.500 0.131 Nd
0.000 0.500 0.377 Nd
0.000 0.500 0.623 Nd
0.000 0.500 0.869 Nd
0.500 0.000 0.131 Nd
0.500 0.000 0.377 Nd
0.500 0.000 0.623 Nd
0.500 0.000 0.869 Nd
0.500 0.500 0.000 Nd
0.500 0.500 0.255 Nd
0.500 0.500 0.500 Nd
0.500 0.500 0.745 Nd
0.000 0.000 0.254 Er
0.000 0.000 0.500 Er
0.000 0.000 0.746 Er

# 2
GGA-PBE AcNd12Er7, optimized geometry; DFT formation energy = 12.93 eV per formula unit; energy above the lowest structure with this stoichiometry = 9.855 kcal/mol of atoms; DOS(E_F) = 27.39 states/eV/cell; space-group type = Im-3; VASP energy = -4.02 eV/atom; total magnetic moment = 0.00 μB per formula unit
1.0
-5.802 5.802 5.802
5.802 -5.802 5.802
5.802 5.802 -5.802
Ac Nd Er
1 12 7
Direct
0.000 0.000 0.000 Ac
0.047 0.287 0.760 Nd
0.240 0.527 0.287 Nd
0.240 0.953 0.713 Nd
0.287 0.240 0.527 Nd
0.287 0.760 0.047 Nd
0.473 0.713 0.760 Nd
0.527 0.287 0.240 Nd
0.713 0.240 0.953 Nd
0.713 0.760 0.473 Nd
0.760 0.047 0.287 Nd
0.760 0.473 0.713 Nd
0.953 0.713 0.240 Nd
0.000 0.000 0.500 Er
0.000 0.500 0.000 Er
0.000 0.500 0.500 Er
0.500 0.000 0.000 Er
0.500 0.000 0.500 Er
0.500 0.500 0.000 Er
0.500 0.500 0.500 Er

# 3
GGA-PBE AcNd4Er2, optimized geometry; DFT formation energy = 1.67 eV per formula unit; energy above the lowest structure with this stoichiometry = 2.645 kcal/mol of atoms; DOS(E_F) = 12.90 states/eV/cell; space-group type = C2/m; VASP energy = -4.38 eV/atom; total magnetic moment = 0.00 μB per formula unit
1.0
6.100 -3.270 0.000
6.100 3.270 0.000
-0.979 0.000 6.339
Ac Nd Er
1 4 2
Direct
0.000 0.000 0.000 Ac
0.000 0.500 0.000 Nd
0.161 0.161 0.508 Nd
0.500 0.000 0.000 Nd
0.839 0.839 0.492 Nd
0.460 0.460 0.735 Er
0.540 0.540 0.265 Er